Record 1
3
Lattice="2.882 0.000 0.000 0.000 4.178 0.000 0.000 -2.089 3.618" Properties=species:S:1:pos:R:3 comment="TaNiCl (SCAN, single point on PBEsol structure)" formation_energy_uncorrected_ev_per_atom=0.3288 crystal_system=hexagonal e_above_lowest_polymorph_ev_per_fu=0.00 pbc="T T T"
Ni 0.000 0.000 2.412
Ta 1.441 2.089 1.206
Cl 1.441 0.000 0.000

Record 2
4
Lattice="-2.511 -1.240 0.490 1.397 0.502 2.425 -5.035 10.487 0.729" Properties=species:S:1:pos:R:3 comment="K2AgW (SCAN, single point on PBEsol structure)" crystal_system=orthorhombic formation_energy_mev_per_atom=1123 e_above_lowest_polymorph_ev_per_fu=0.00 pbc="T T T"
K -1.238 2.579 0.179
W -3.074 4.875 1.822
K -3.796 7.908 0.549
Ag -0.557 -0.369 1.458

Record 3
4
Lattice="4.356 0.000 0.000 2.178 3.772 0.000 2.178 1.257 6.923" Properties=species:S:1:pos:R:3 comment="KCd2P (SCAN, single point on PBEsol structure)" crystal_system=trigonal formation_energy_mev_per_atom=-18 pbc="T T T"
K 4.356 2.515 3.462
Cd 6.533 3.772 5.901
P 0.000 0.000 0.000
Cd 2.178 1.257 1.023

Record 4
36
Lattice="3.613 0.000 0.000 0.000 10.338 0.000 0.000 0.000 11.960" Properties=species:S:1:pos:R:3 comment="TmCo3P2 (SCAN, single point on PBEsol structure)" crystal_system=orthorhombic formation_energy_mev_per_atom=-918 pbc="T T T"
Co 0.000 0.000 10.052
Tm 0.000 7.054 9.497
Tm 0.000 5.169 6.256
Co 1.806 6.894 11.895
Co 1.806 3.445 11.895
Co 1.806 5.169 8.408
P 1.806 7.115 7.374
P 1.806 3.223 7.374
Tm 1.806 1.885 2.463
Co 1.806 5.169 1.908
P 0.000 6.747 1.291
P 0.000 8.392 4.587
Co 0.000 8.614 0.065
Co 0.000 6.421 3.479
Co 1.806 1.251 8.481
P 0.000 1.946 4.587
P 0.000 0.000 1.413
P 1.806 8.761 10.669
P 1.806 1.578 10.669
Co 0.000 0.000 3.552
Co 1.806 9.087 8.481
Tm 1.806 8.454 2.463
Tm 1.806 0.000 5.704
P 1.806 5.169 10.547
Co 1.806 0.000 0.172
P 1.806 5.169 4.133
Co 0.000 2.090 6.808
Co 1.806 3.079 5.152
Co 0.000 1.725 0.065
Co 0.000 5.169 11.789
P 0.000 0.000 7.827
Co 1.806 7.259 5.152
Tm 0.000 3.284 9.497
Co 0.000 3.918 3.479
P 0.000 3.592 1.291
Co 0.000 8.249 6.808

E values (in eV/atom) by entry order: -29.916, -28.305, -19.907, -21.675.
Calculated volume values (in Å³ per atom) by entry order: 14.524, 21.943, 28.437, 12.408.